[1]
A plane-wave DFT calculation with PBE was carried out for Tb4SnSbC after structural relaxation.

Lattice parameters (Å, degrees): 6.833 6.830 8.638 90.00 113.30 90.00
Sites, in units of the cell vectors:
1 Tb 0.909 0.250 0.817
2 Tb 0.408 0.750 0.815
3 Tb 0.091 0.750 0.183
4 Tb 0.592 0.250 0.185
5 Tb 0.500 0.500 0.500
6 Tb 0.000 0.000 0.500
7 Tb 0.500 0.000 0.500
8 Tb 0.000 0.500 0.500
9 Sn 0.109 0.250 0.217
10 Sn 0.891 0.750 0.783
11 Sb 0.609 0.750 0.217
12 Sb 0.391 0.250 0.783
13 C 0.250 0.750 0.500
14 C 0.750 0.250 0.500

Results
The total energy is -5.844 eV/atom. The value obtained for the density is 8.0 g/cm3. As for the space group: Cmcm, No. 63.

=====

[2]
A plane-wave DFT calculation with PBE was carried out for SnSb2TeC after structural relaxation.

Lattice parameters (Å, degrees): 5.712 5.712 5.671 90.00 90.00 90.00
Sites, in units of the cell vectors:
1 Sb 0.000 0.500 0.000
2 Sb 0.500 0.000 0.000
3 C 0.500 0.500 0.500
4 Te 0.000 0.000 0.500
5 Sn 0.000 0.000 0.000

Results
The total energy is -2.869 eV/atom. The value obtained for the density is 4.5 g/cm3. As for the space group: P4/mmm, No. 123.

=====

[3]
A plane-wave DFT calculation with PBE was carried out for Sn2SbTeC after structural relaxation.

Lattice parameters (Å, degrees): 5.961 4.089 5.961 90.00 90.00 90.00
Sites, in units of the cell vectors:
1 Sb 0.500 0.500 0.500
2 C 0.000 0.500 0.000
3 Te 0.000 0.000 0.000
4 Sn 0.000 0.000 0.500
5 Sn 0.500 0.000 0.000

Results
The total energy is -3.662 eV/atom. The value obtained for the density is 5.7 g/cm3. As for the space group: P4/mmm, No. 123.

=====

[4]
A plane-wave DFT calculation with PBE was carried out for SnSbTe2C after structural relaxation.

Lattice parameters (Å, degrees): 4.910 4.910 4.849 90.00 90.00 90.00
Sites, in units of the cell vectors:
1 Sb 0.000 0.000 0.500
2 C 0.000 0.000 0.000
3 Te 0.000 0.500 0.000
4 Te 0.500 0.000 0.000
5 Sn 0.500 0.500 0.500

Results
The total energy is -3.872 eV/atom. The value obtained for the density is 7.2 g/cm3. As for the space group: P4/mmm, No. 123.

=====

[5]
A plane-wave DFT calculation with PBE was carried out for SnSbTe2C after structural relaxation.

Lattice parameters (Å, degrees): 5.713 5.713 5.748 90.00 90.00 90.00
Sites, in units of the cell vectors:
1 Sb 0.000 0.000 0.500
2 C 0.500 0.500 0.500
3 Te 0.000 0.500 0.000
4 Te 0.500 0.000 0.000
5 Sn 0.000 0.000 0.000

Results
The total energy is -2.760 eV/atom. The value obtained for the density is 4.5 g/cm3. As for the space group: P4/mmm, No. 123.

=====

[6]
A plane-wave DFT calculation with PBE was carried out for SnSb2TeC after structural relaxation.

Lattice parameters (Å, degrees): 4.851 4.851 4.946 90.00 90.00 90.00
Sites, in units of the cell vectors:
1 Sb 0.000 0.500 0.000
2 Sb 0.500 0.000 0.000
3 C 0.000 0.000 0.000
4 Te 0.000 0.000 0.500
5 Sn 0.500 0.500 0.500

Results
The total energy is -4.057 eV/atom. The value obtained for the density is 7.2 g/cm3. As for the space group: P4/mmm, No. 123.

=====

[7]
A plane-wave DFT calculation with PBE was carried out for TiSn2SbC after structural relaxation.

Lattice parameters (Å, degrees): 5.774 4.061 5.774 90.00 90.00 90.00
Sites, in units of the cell vectors:
1 Sb 0.000 0.000 0.000
2 C 0.000 0.500 0.000
3 Sn 0.000 0.000 0.500
4 Sn 0.500 0.000 0.000
5 Ti 0.500 0.500 0.500

Results
The total energy is -4.299 eV/atom. The value obtained for the density is 5.1 g/cm3. As for the space group: P4/mmm, No. 123.

=====

[8]
A plane-wave DFT calculation with PBE was carried out for VSnSbC2 after structural relaxation.

Lattice parameters (Å, degrees): 4.043 5.483 4.043 90.00 90.00 90.00
Sites, in units of the cell vectors:
1 Sb 0.000 0.500 0.000
2 C 0.000 0.000 0.500
3 C 0.500 0.000 0.000
4 Sn 0.500 0.500 0.500
5 V 0.000 0.000 0.000

Results
The total energy is -5.850 eV/atom. The value obtained for the density is 5.8 g/cm3. As for the space group: P4/mmm, No. 123.

=====

[9]
A plane-wave DFT calculation with PBE was carried out for Y4SnSbC after structural relaxation.

Lattice parameters (Å, degrees): 6.802 6.799 8.609 90.00 113.27 90.00
Sites, in units of the cell vectors:
1 Y 0.909 0.250 0.818
2 Y 0.408 0.750 0.816
3 Y 0.091 0.750 0.182
4 Y 0.592 0.250 0.184
5 Y 0.500 0.500 0.500
6 Y 0.000 0.000 0.500
7 Y 0.500 0.000 0.500
8 Y 0.000 0.500 0.500
9 Sn 0.108 0.250 0.216
10 Sn 0.892 0.750 0.784
11 Sb 0.608 0.750 0.216
12 Sb 0.392 0.250 0.784
13 C 0.250 0.750 0.500
14 C 0.750 0.250 0.500

Results
The total energy is -6.931 eV/atom. The value obtained for the density is 5.5 g/cm3. As for the space group: Cmcm, No. 63.

=====

[10]
A plane-wave DFT calculation with PBE was carried out for SrSbC3 after structural relaxation.

Lattice parameters (Å, degrees): 4.349 4.349 4.349 90.00 90.00 90.00
Sites, in units of the cell vectors:
1 Sb 0.000 0.000 0.000
2 C 0.000 0.500 0.000
3 C 0.000 0.000 0.500
4 C 0.500 0.000 0.000
5 Sr 0.500 0.500 0.500

Results
The total energy is -4.734 eV/atom. The value obtained for the density is 5.0 g/cm3. As for the space group: Pm-3m, No. 221.

=====

[11]
A plane-wave DFT calculation with PBE was carried out for SrSb3C after structural relaxation.

Lattice parameters (Å, degrees): 6.069 6.069 6.069 90.00 90.00 90.00
Sites, in units of the cell vectors:
1 Sb 0.000 0.500 0.000
2 Sb 0.000 0.000 0.500
3 Sb 0.500 0.000 0.000
4 C 0.500 0.500 0.500
5 Sr 0.000 0.000 0.000

Results
The total energy is -2.489 eV/atom. The value obtained for the density is 3.5 g/cm3. As for the space group: Pm-3m, No. 221.

=====

[12]
A plane-wave DFT calculation with PBE was carried out for SrSbC2 after structural relaxation.

Lattice parameters (Å, degrees): 6.311 6.311 5.817 57.15 57.15 90.00
Sites, in units of the cell vectors:
1 Sb 0.000 0.000 0.000
2 Sb 0.750 0.250 0.500
3 C 0.695 0.125 0.250
4 C 0.055 0.625 0.250
5 C 0.375 0.305 0.750
6 C 0.875 0.945 0.750
7 Sr 0.500 0.500 0.000
8 Sr 0.250 0.750 0.500

Results
The total energy is -5.082 eV/atom. The value obtained for the density is 5.2 g/cm3. As for the space group: I-42d, No. 122.

=====

The following energy relative to the elements, uncorrected values (in eV per formula unit) correspond, in order, to the records above: -5.04, 10.27, 6.19, 4.27, 9.83, 4.33, 7.75, 6.44, -5.31, 9.81, 10.83, 3.92.